Computed, not measured: a relaxed structure of GaSb2TePd at the GGA-PBE level of DFT.

extended XYZ file:
```
5
Lattice="-3.203 2.952 2.828 1.917 -2.088 4.351 3.898 4.025 0.214" Properties=species:S:1:pos:R:3 pbc="T T T"
Pd 0.000 0.000 0.000
Sb 0.958 -1.044 2.176
Sb -1.602 1.476 1.414
Ga 1.306 2.444 3.696
Te 1.949 2.012 0.107
```

Results
space-group type: P4/mmm (123)
ΔE to the lowest computed polymorph: 0.000 eV per atom
total magnetic moment: 0.000 μB per atom
raw total energy: -3.613 eV/atom
formation energy without anion corrections: 0.31 eV/atom

Computed, not measured: a relaxed structure of Nd4Mg5Zn2 at the GGA-PBE level of DFT.

extended XYZ file:
```
11
Lattice="-1.447 2.024 2.419 1.989 -5.419 5.725 8.973 5.305 0.928" Properties=species:S:1:pos:R:3 pbc="T T T"
Zn 5.778 3.049 0.905
Zn 5.184 -3.162 5.748
Nd 2.121 -2.890 6.177
Nd 3.806 2.008 3.086
Nd 7.394 4.801 2.895
Nd 5.709 -0.097 5.986
Mg 0.994 -2.709 2.862
Mg 9.079 0.100 5.348
Mg 7.171 1.378 3.136
Mg 1.883 -0.213 1.305
Mg 3.791 -1.492 3.516
```

Results
space-group type: P2/m (10)
total magnetic moment: 0.000 μB per atom
raw total energy: -2.807 eV/atom